Record 1
# TaBe2Rh (meta-GGA SCAN, single point on PBEsol structure)
data_TaBe2Rh
_chemical_formula_sum 'Ta3 Be6 Rh3'
_cell_length_a 2.7324
_cell_length_b 2.7324
_cell_length_c 23.8268
_cell_angle_alpha 90.00
_cell_angle_beta 90.00
_cell_angle_gamma 120.00
_symmetry_space_group_name_H-M 'R 3 m'
_symmetry_Int_Tables_number 160
_symmetry_space_group_name_Hall 'R 3 -2"'
loop_
_atom_site_label
_atom_site_type_symbol
_atom_site_fract_x
_atom_site_fract_y
_atom_site_fract_z
Ta1 Ta 0.0000 0.0000 0.0000
Be1 Be 0.0000 0.0000 0.4980
Be2 Be 0.0000 0.0000 0.7571
Rh1 Rh 0.0000 0.0000 0.2392
# formation energy from the elements	0.08	eV/atom
# offset from the most stable computed form	506	meV per atom
# total magnetization	0.0	μB per formula unit
# total DFT energy (no corrections)	-326.20	eV per cell

=====

Record 2
# TaBe4Rh (meta-GGA SCAN, single point on PBEsol structure)
data_TaBe4Rh
_chemical_formula_sum 'Ta4 Be16 Rh4'
_cell_length_a 6.253
_cell_length_b 6.253
_cell_length_c 6.253
_cell_angle_alpha 90.00
_cell_angle_beta 90.00
_cell_angle_gamma 90.00
_symmetry_space_group_name_H-M 'F -4 3 m'
_symmetry_Int_Tables_number 216
_symmetry_space_group_name_Hall 'F -4 2 3'
loop_
_atom_site_label
_atom_site_type_symbol
_atom_site_fract_x
_atom_site_fract_y
_atom_site_fract_z
Ta1 Ta 0.000 0.000 0.000
Be1 Be 0.127 0.127 0.627
Rh1 Rh 0.250 0.250 0.250
# formation energy from the elements	-0.39	eV/atom
# total magnetization	0.2	μB per formula unit
# total DFT energy (no corrections)	-480.41	eV per cell

=====

Record 3
# TaBeRh2 (meta-GGA SCAN, single point on PBEsol structure)
data_TaBeRh2
_chemical_formula_sum 'Ta1 Be1 Rh2'
_cell_length_a 2.788
_cell_length_b 3.730
_cell_length_c 5.214
_cell_angle_alpha 90.00
_cell_angle_beta 90.00
_cell_angle_gamma 90.00
_symmetry_space_group_name_H-M 'P m m 2'
_symmetry_Int_Tables_number 25
loop_
_symmetry_equiv_pos_as_xyz
'x,y,z'
'-x,-y,z'
'-x,y,z'
'x,-y,z'
loop_
_atom_site_label
_atom_site_type_symbol
_atom_site_fract_x
_atom_site_fract_y
_atom_site_fract_z
Ta1 Ta 0.000 0.000 0.000
Be1 Be 0.500 0.500 0.293
Rh1 Rh 0.000 0.000 0.455
Rh2 Rh 0.500 0.500 0.765
# formation energy from the elements	-0.49	eV/atom
# total magnetization	0.0	μB per formula unit
# total DFT energy (no corrections)	-140.44	eV per cell